VASP calculation (GGA-PBE) on a relaxed BaSrFeAs2 crystal.

Results
**Electronic total energy**: -0.1814 hartree per atom
**M_tot**: 7.5 μB/cell
**Symmetry**: Cmc2_1 (36)

Geometry as extended XYZ:
```
10
Lattice="2.212 -8.467 0.000 2.212 8.467 0.000 0.000 0.000 7.654" Properties=species:S:1:pos:R:3 pbc="T T T"
Ba 2.212 4.923 3.827
Ba 2.212 -4.923 0.000
Sr 2.212 7.929 1.454
Sr 2.212 -7.929 5.281
Fe 2.212 1.451 2.481
Fe 2.212 -1.451 6.308
As 2.212 5.884 6.864
As 2.212 0.936 7.551
As 2.212 -0.936 3.724
As 2.212 -5.884 3.037
```